No. 1
AlHgTe2, PBEsol geometry, DFT SCAN; DOS(E_F) = 1.676 states/eV/f.u.; spin magnetization = 0.000 μB/atom; E = -37.55 eV/atom
1.0
3.228 0.000 0.000
0.000 4.887 0.000
-1.614 -2.444 6.942
Te Hg Al
2 1 1
direct
0.662 0.662 0.324 Te
0.338 0.338 0.676 Te
0.500 0.000 0.000 Hg
0.000 0.500 0.000 Al

No. 2
AlHg2Te, PBEsol geometry, DFT SCAN; DOS(E_F) = 0.804 states/eV/f.u.; spin magnetization = 0.000 μB/atom; energy above the most stable polymorph in this dataset = 0.000 eV/f.u.
1.0
-3.169 1.187 -2.029
-3.173 -2.334 -0.247
-4.901 2.752 5.429
Te Hg Al
1 2 1
direct
0.516 0.516 0.453 Te
0.990 0.990 0.030 Hg
0.745 0.745 0.766 Hg
0.249 0.249 0.252 Al

No. 3
AlHg2Te, PBEsol geometry, DFT SCAN; DOS(E_F) = 1.191 states/eV/f.u.; spin magnetization = 0.000 μB/atom; energy above the most stable polymorph in this dataset = 0.910 eV/f.u.
1.0
-1.155 3.416 -1.876
-3.877 -0.807 0.917
0.606 3.121 5.309
Te Hg Al
1 2 1
direct
0.500 0.500 0.500 Te
0.000 0.500 0.000 Hg
0.500 0.000 0.000 Hg
0.000 0.000 0.500 Al

No. 4
AlHg2Te, PBEsol geometry, DFT SCAN; DOS(E_F) = 2.280 states/eV/f.u.; spin magnetization = 0.000 μB/atom; energy above the most stable polymorph in this dataset = 1.381 eV/f.u.
1.0
2.932 0.000 0.000
0.000 5.642 0.000
0.000 0.000 5.932
Te Hg Al
1 2 1
direct
0.500 0.500 0.000 Te
0.000 0.000 0.746 Hg
0.000 0.000 0.254 Hg
0.500 0.500 0.500 Al

No. 5
AlHgTe2, PBEsol geometry, DFT SCAN; DOS(E_F) = 1.393 states/eV/f.u.; spin magnetization = 0.000 μB/atom; E = -37.44 eV/atom
1.0
3.016 0.000 -0.080
0.000 5.710 0.000
-1.606 0.000 6.044
Te Hg Al
2 1 1
direct
0.243 0.000 0.755 Te
0.757 0.000 0.245 Te
0.500 0.500 0.500 Hg
0.500 0.500 0.000 Al

No. 6
AlHgTe, PBEsol geometry, DFT SCAN; DOS(E_F) = 1.275 states/eV/f.u.; spin magnetization = 0.000 μB/atom; E = -37.59 eV/atom
1.0
3.468 0.000 0.000
0.000 3.468 0.000
-1.734 -1.734 5.929
Te Hg Al
1 1 1
direct
0.360 0.360 0.719 Te
0.647 0.647 0.295 Hg
0.993 0.993 0.986 Al

No. 7
AlHgTe2, PBEsol geometry, DFT SCAN; DOS(E_F) = 1.252 states/eV/f.u.; spin magnetization = 0.000 μB/atom; E = -37.75 eV/atom
1.0
-0.744 3.472 1.959
-3.630 -1.414 1.127
2.675 -2.512 5.467
Te Hg Al
2 1 1
direct
0.000 0.000 0.921 Te
0.500 0.500 0.400 Te
0.500 0.500 0.847 Hg
0.000 0.000 0.332 Al

No. 8
AlHg2Te, PBEsol geometry, DFT SCAN; DOS(E_F) = 1.529 states/eV/f.u.; spin magnetization = 0.000 μB/atom; energy above the most stable polymorph in this dataset = 0.973 eV/f.u.
1.0
3.435 0.000 0.000
0.000 3.435 0.000
0.000 0.000 8.095
Te Hg Al
1 2 1
direct
0.000 0.000 0.547 Te
0.000 0.000 0.975 Hg
0.500 0.500 0.231 Hg
0.500 0.500 0.748 Al